DFT (PBE) results for SbCS2 after structural relaxation.

Calculated values
Formation energy without anion corrections   0.597 eV/atom
Magnetization   0.00 μB per formula unit
Space group   R-3m (166)
D(E_F)   1.834 states/eV/cell

abc: 8.145 8.145 8.145
angles: 25.65 25.65 25.65
Element x y z (fractional)
Sb (0.500, 0.500, 0.500)
C (0.000, 0.000, 0.000)
S (0.933, 0.933, 0.933)
S (0.067, 0.067, 0.067)

=====

DFT (PBE) results for SbTe2CS after structural relaxation.

Calculated values
Formation energy without anion corrections   1.134 eV/atom
Magnetization   0.00 μB per formula unit
Space group   P4/mmm (123)
D(E_F)   3.322 states/eV/cell

abc: 4.656 4.656 5.103
angles: 90.00 90.00 90.00
Element x y z (fractional)
C (0.000, 0.000, 0.000)
S (0.500, 0.500, 0.500)
Te (0.000, 0.500, 0.000)
Te (0.500, 0.000, 0.000)
Sb (0.000, 0.000, 0.500)

=====

DFT (PBE) results for Tm6SbC2S3 after structural relaxation.

Calculated values
Formation energy without anion corrections   -1.300 eV/atom
Magnetization   0.00 μB per formula unit
Space group   C2/m (12)
D(E_F)   2.610 states/eV/cell

abc: 3.789 7.844 8.638
angles: 102.17 102.67 90.00
Element x y z (fractional)
Tm (0.677, 0.130, 0.354)
Tm (0.976, 0.719, 0.952)
Tm (0.678, 0.567, 0.357)
Tm (0.323, 0.870, 0.646)
Tm (0.024, 0.281, 0.048)
Tm (0.322, 0.433, 0.643)
Sb (0.500, 0.000, 0.000)
S (0.500, 0.500, 0.000)
S (0.163, 0.833, 0.326)
S (0.837, 0.167, 0.674)
C (0.172, 0.344, 0.344)
C (0.828, 0.656, 0.656)

=====

DFT (PBE) results for Sc6CS3 after structural relaxation.

Calculated values
Formation energy without anion corrections   -1.216 eV/atom
Magnetization   0.00 μB per formula unit
Space group   P2_1/c (14)
D(E_F)   16.711 states/eV/cell

abc: 5.931 6.675 9.041
angles: 90.00 94.31 90.00
Element x y z (fractional)
Sc (0.843, 0.703, 0.938)
Sc (0.323, 0.833, 0.079)
Sc (0.342, 0.528, 0.727)
Sc (0.158, 0.028, 0.773)
Sc (0.842, 0.972, 0.227)
Sc (0.657, 0.203, 0.562)
Sc (0.823, 0.667, 0.579)
Sc (0.177, 0.333, 0.421)
Sc (0.658, 0.472, 0.273)
Sc (0.157, 0.297, 0.062)
Sc (0.343, 0.797, 0.438)
Sc (0.677, 0.167, 0.921)
S (0.550, 0.881, 0.719)
S (0.050, 0.619, 0.219)
S (0.950, 0.381, 0.781)
S (0.500, 0.500, 0.000)
S (0.000, 0.000, 0.500)
S (0.450, 0.119, 0.281)
C (0.500, 0.500, 0.500)
C (0.000, 0.000, 0.000)

=====

> Which formula does entry 1 have?

SbCS2

=====

Please write out number 4 again, unchanged.
DFT (PBE) results for Sc6CS3 after structural relaxation.

Calculated values
Formation energy without anion corrections   -1.216 eV/atom
Magnetization   0.00 μB per formula unit
Space group   P2_1/c (14)
D(E_F)   16.711 states/eV/cell

abc: 5.931 6.675 9.041
angles: 90.00 94.31 90.00
Element x y z (fractional)
Sc (0.843, 0.703, 0.938)
Sc (0.323, 0.833, 0.079)
Sc (0.342, 0.528, 0.727)
Sc (0.158, 0.028, 0.773)
Sc (0.842, 0.972, 0.227)
Sc (0.657, 0.203, 0.562)
Sc (0.823, 0.667, 0.579)
Sc (0.177, 0.333, 0.421)
Sc (0.658, 0.472, 0.273)
Sc (0.157, 0.297, 0.062)
Sc (0.343, 0.797, 0.438)
Sc (0.677, 0.167, 0.921)
S (0.550, 0.881, 0.719)
S (0.050, 0.619, 0.219)
S (0.950, 0.381, 0.781)
S (0.500, 0.500, 0.000)
S (0.000, 0.000, 0.500)
S (0.450, 0.119, 0.281)
C (0.500, 0.500, 0.500)
C (0.000, 0.000, 0.000)